Compound: Th2SbPt2
Source: the Alexandria database
Functional: PBE
Structure: optimized geometry

Total DFT energy (no corrections) (eV/atom): -7.38
Space group: P4/mbm (127)
Formation energy without anion corrections (meV/atom): -1175

a = 3.968 Å, b = 7.828 Å, c = 7.828 Å
α = 90.00°, β = 90.00°, γ = 90.00°
Element x y z (fractional)
Sb: 0.000 0.000 0.000
Sb: 0.000 0.500 0.500
Th: 0.500 0.175 0.675
Th: 0.500 0.825 0.325
Th: 0.500 0.325 0.175
Th: 0.500 0.675 0.825
Pt: 0.000 0.627 0.127
Pt: 0.000 0.127 0.373
Pt: 0.000 0.373 0.873
Pt: 0.000 0.873 0.627